i | Material: CePmHg4
Method: DFT, PBE-GGA
State: optimized geometry Values from VASP.

Geometry as Quantum ESPRESSO input:
```
&SYSTEM
  ibrav = 0, nat = 6, ntyp = 3
/
ATOMIC_SPECIES
Hg 200.59 Hg.upf
Ce 140.12 Ce.upf
Pm 145.00 Pm.upf
ATOMIC_POSITIONS crystal
Hg 0.1251 0.6250 0.6250
Hg 0.6250 0.6250 0.1251
Ce 0.0000 0.0000 0.0000
Hg 0.6250 0.1251 0.6250
Pm 0.2500 0.2500 0.2500
Hg 0.6250 0.6250 0.6250
CELL_PARAMETERS angstrom
6.0253 0.0000 0.0000
3.0127 5.2181 0.0000
3.0127 1.7394 4.9196
```

---

ii | Material: CePmHg4
Method: DFT, PBE-GGA
State: optimized geometry Values from VASP.

Geometry as Quantum ESPRESSO input:
```
&SYSTEM
  ibrav = 0, nat = 6, ntyp = 3
/
ATOMIC_SPECIES
Hg 200.59 Hg.upf
Pm 145.00 Pm.upf
Ce 140.12 Ce.upf
ATOMIC_POSITIONS crystal
Hg 0.1868 0.9972 0.1205
Hg 0.3176 0.4974 0.3795
Pm 0.8554 0.9974 0.4580
Ce 0.6470 0.4971 0.0379
Hg 0.5205 0.9972 0.7891
Hg 0.9805 0.4974 0.7038
CELL_PARAMETERS angstrom
-3.3569 1.8014 -1.3153
-0.9208 -4.0926 -3.2571
-2.2536 -4.2911 6.0315
```

---

Energy comparison, zero being the most stable, in eV/atom: i 0.133; ii 0.000.

---

i | Material: CePm2Hg6
Method: DFT, PBE-GGA
State: optimized geometry Values from VASP.

Geometry as Quantum ESPRESSO input:
```
&SYSTEM
  ibrav = 0, nat = 9, ntyp = 3
/
ATOMIC_SPECIES
Pm 145.00 Pm.upf
Hg 200.59 Hg.upf
Ce 140.12 Ce.upf
ATOMIC_POSITIONS crystal
Pm 0.0000 0.3333 0.6667
Hg 0.5000 0.6660 0.6660
Hg 0.5000 0.3340 0.0000
Ce 0.0000 0.0000 0.0000
Hg 0.5000 0.6660 0.0000
Hg 0.5000 0.0000 0.3340
Hg 0.5000 0.3340 0.3340
Pm 0.0000 0.6667 0.3333
Hg 0.5000 0.0000 0.6660
CELL_PARAMETERS angstrom
3.4372 0.0000 0.0000
0.0000 7.5936 -4.3841
0.0000 0.0000 8.7683
```

---

ii | Material: CePm2Hg6
Method: DFT, PBE-GGA
State: optimized geometry Values from VASP.

Geometry as Quantum ESPRESSO input:
```
&SYSTEM
  ibrav = 0, nat = 9, ntyp = 3
/
ATOMIC_SPECIES
Pm 145.00 Pm.upf
Hg 200.59 Hg.upf
Ce 140.12 Ce.upf
ATOMIC_POSITIONS crystal
Pm 0.3507 0.1493 0.1493
Hg 0.8295 0.8429 0.4981
Hg 0.0000 0.1724 0.8276
Ce 0.5000 0.5000 0.5000
Hg 0.1705 0.5019 0.1571
Hg 0.0000 0.8276 0.1724
Pm 0.6493 0.8507 0.8507
Hg 0.8295 0.4981 0.8429
Hg 0.1705 0.1571 0.5019
CELL_PARAMETERS angstrom
-0.6662 -0.9255 3.3234
7.5385 -4.5480 2.1020
6.9795 3.8161 4.3191
```

---

Energy comparison, zero being the most stable, in eV/atom: i 0.000; ii 0.048.

---

i | Material: CePm2Hg7
Method: DFT, PBE-GGA
State: optimized geometry Values from VASP.

Geometry as Quantum ESPRESSO input:
```
&SYSTEM
  ibrav = 0, nat = 10, ntyp = 3
/
ATOMIC_SPECIES
Hg 200.59 Hg.upf
Pm 145.00 Pm.upf
Ce 140.12 Ce.upf
ATOMIC_POSITIONS crystal
Hg 0.0000 0.0000 0.2378
Hg 0.0000 0.0000 0.5175
Hg 0.3333 0.6667 0.8910
Hg 0.3333 0.6667 0.4030
Pm 0.3333 0.6667 0.6473
Pm 0.6667 0.3333 0.3292
Ce 0.0000 0.0000 0.9663
Hg 0.3333 0.6667 0.1460
Hg 0.6667 0.3333 0.0616
Hg 0.6667 0.3333 0.7837
CELL_PARAMETERS angstrom
5.0789 0.0000 0.0000
-2.5394 4.3984 0.0000
0.0000 0.0000 12.2531
```

---

ii | Material: CePm2Hg7
Method: DFT, PBE-GGA
State: optimized geometry Values from VASP.

Geometry as Quantum ESPRESSO input:
```
&SYSTEM
  ibrav = 0, nat = 10, ntyp = 3
/
ATOMIC_SPECIES
Hg 200.59 Hg.upf
Pm 145.00 Pm.upf
Ce 140.12 Ce.upf
ATOMIC_POSITIONS crystal
Hg 0.6667 0.3333 0.1103
Hg 0.3333 0.6667 0.9468
Hg 0.6667 0.3333 0.8538
Pm 0.3333 0.6667 0.6905
Ce 0.0000 0.0000 0.0101
Hg 0.3333 0.6667 0.4375
Hg 0.6667 0.3333 0.5964
Hg 0.0000 0.0000 0.7510
Hg 0.0000 0.0000 0.2672
Pm 0.6667 0.3333 0.3530
CELL_PARAMETERS angstrom
-5.0808 0.1556 -0.7816
1.8507 -0.7853 4.7337
0.0677 12.4365 2.0366
```

---

Energy comparison, zero being the most stable, in eV/atom: i 0.000; ii 0.061.

---

i | Material: CePmHgRh
Method: DFT, PBE-GGA
State: optimized geometry Values from VASP.

Geometry as Quantum ESPRESSO input:
```
&SYSTEM
  ibrav = 0, nat = 4, ntyp = 4
/
ATOMIC_SPECIES
Hg 200.59 Hg.upf
Rh 102.91 Rh.upf
Pm 145.00 Pm.upf
Ce 140.12 Ce.upf
ATOMIC_POSITIONS crystal
Hg 0.9663 0.3811 0.3625
Rh 0.3104 0.5532 0.8790
Pm 0.4982 0.1470 0.6602
Ce 0.1031 0.9495 0.0680
CELL_PARAMETERS angstrom
-0.7498 3.2138 -2.3266
0.5147 -3.6345 -1.6828
-7.3422 -2.2910 2.7032
```

---

ii | Material: CePmHgRh
Method: DFT, PBE-GGA
State: optimized geometry Values from VASP.

Geometry as Quantum ESPRESSO input:
```
&SYSTEM
  ibrav = 0, nat = 4, ntyp = 4
/
ATOMIC_SPECIES
Ce 140.12 Ce.upf
Hg 200.59 Hg.upf
Rh 102.91 Rh.upf
Pm 145.00 Pm.upf
ATOMIC_POSITIONS crystal
Ce 0.0000 0.0000 0.0000
Hg 0.2500 0.2500 0.2500
Rh 0.7500 0.7500 0.7500
Pm 0.5000 0.5000 0.5000
CELL_PARAMETERS angstrom
5.1801 0.0000 0.0000
2.5900 4.4861 0.0000
2.5900 1.4954 4.2295
```

---

Energy comparison, zero being the most stable, in eV/atom: i 0.000; ii 0.079.

---

i | Material: CePmHgRu
Method: DFT, PBE-GGA
State: optimized geometry Values from VASP.

Geometry as Quantum ESPRESSO input:
```
&SYSTEM
  ibrav = 0, nat = 4, ntyp = 4
/
ATOMIC_SPECIES
Ru 101.07 Ru.upf
Pm 145.00 Pm.upf
Ce 140.12 Ce.upf
Hg 200.59 Hg.upf
ATOMIC_POSITIONS crystal
Ru 0.3181 0.5569 0.8910
Pm 0.4982 0.1470 0.6605
Ce 0.0974 0.9467 0.0585
Hg 0.9642 0.3802 0.3597
CELL_PARAMETERS angstrom
4.0050 0.0003 0.0006
-2.0014 3.4674 0.0004
-2.0009 -1.1539 7.8162
```

---

ii | Material: CePmHgRu
Method: DFT, PBE-GGA
State: optimized geometry Values from VASP.

Geometry as Quantum ESPRESSO input:
```
&SYSTEM
  ibrav = 0, nat = 4, ntyp = 4
/
ATOMIC_SPECIES
Pm 145.00 Pm.upf
Ru 101.07 Ru.upf
Ce 140.12 Ce.upf
Hg 200.59 Hg.upf
ATOMIC_POSITIONS crystal
Pm 0.0000 0.0000 0.0000
Ru 0.2500 0.2500 0.2500
Ce 0.5000 0.5000 0.5000
Hg 0.7500 0.7500 0.7500
CELL_PARAMETERS angstrom
-4.8823 -1.4844 0.6829
-1.0262 -4.5801 2.1158
-1.9718 -0.2581 4.7489
```

---

Energy comparison, zero being the most stable, in eV/atom: i 0.000; ii 0.101.

---

i | Material: CePmTlHg
Method: DFT, PBE-GGA
State: optimized geometry Values from VASP.

Geometry as Quantum ESPRESSO input:
```
&SYSTEM
  ibrav = 0, nat = 4, ntyp = 4
/
ATOMIC_SPECIES
Tl 204.38 Tl.upf
Ce 140.12 Ce.upf
Pm 145.00 Pm.upf
Hg 200.59 Hg.upf
ATOMIC_POSITIONS crystal
Tl 0.7500 0.7500 0.7500
Ce 0.0000 0.0000 0.0000
Pm 0.5000 0.5000 0.5000
Hg 0.2500 0.2500 0.2500
CELL_PARAMETERS angstrom
5.4640 0.0000 0.0000
2.7320 4.7320 0.0000
2.7320 1.5773 4.4613
```

---

ii | Material: CePmTlHg
Method: DFT, PBE-GGA
State: optimized geometry Values from VASP.

Geometry as Quantum ESPRESSO input:
```
&SYSTEM
  ibrav = 0, nat = 4, ntyp = 4
/
ATOMIC_SPECIES
Ce 140.12 Ce.upf
Hg 200.59 Hg.upf
Tl 204.38 Tl.upf
Pm 145.00 Pm.upf
ATOMIC_POSITIONS crystal
Ce 0.0000 0.0000 0.3633
Hg 0.5000 0.5000 0.6091
Tl 0.5000 0.5000 0.1050
Pm 0.0000 0.0000 0.8506
CELL_PARAMETERS angstrom
-3.2282 1.4935 0.4312
-1.0175 -2.7814 2.0166
2.8781 4.1494 7.1751
```

---

Energy comparison, zero being the most stable, in eV/atom: i 0.007; ii 0.000.

---

i | Material: CePrHg2
Method: DFT, PBE-GGA
State: optimized geometry Values from VASP.

Geometry as Quantum ESPRESSO input:
```
&SYSTEM
  ibrav = 0, nat = 4, ntyp = 3
/
ATOMIC_SPECIES
Pr 140.91 Pr.upf
Hg 200.59 Hg.upf
Ce 140.12 Ce.upf
ATOMIC_POSITIONS crystal
Pr 0.5000 0.5000 0.5000
Hg 0.2503 0.2503 0.2491
Ce 0.0000 0.0000 0.0000
Hg 0.7497 0.7497 0.7509
CELL_PARAMETERS angstrom
-3.6839 -0.4749 -0.4171
-1.2972 -2.4148 -2.5410
-1.4961 -8.2232 5.8298
```

---

ii | Material: CePrHg2
Method: DFT, PBE-GGA
State: optimized geometry Values from VASP.

Geometry as Quantum ESPRESSO input:
```
&SYSTEM
  ibrav = 0, nat = 4, ntyp = 3
/
ATOMIC_SPECIES
Hg 200.59 Hg.upf
Pr 140.91 Pr.upf
Ce 140.12 Ce.upf
ATOMIC_POSITIONS crystal
Hg 0.0000 0.0000 0.2467
Pr 0.5000 0.5000 0.5000
Ce 0.5000 0.5000 0.0000
Hg 0.0000 0.0000 0.7533
CELL_PARAMETERS angstrom
3.8414 0.0000 0.0000
0.0000 3.8414 0.0000
0.0000 0.0000 7.7276
```

---

Energy comparison, zero being the most stable, in eV/atom: i 0.158; ii 0.000.

---

i | Material: CePrHg
Method: DFT, PBE-GGA
State: optimized geometry Values from VASP.

Geometry as Quantum ESPRESSO input:
```
&SYSTEM
  ibrav = 0, nat = 6, ntyp = 3
/
ATOMIC_SPECIES
Ce 140.12 Ce.upf
Hg 200.59 Hg.upf
Pr 140.91 Pr.upf
ATOMIC_POSITIONS crystal
Ce 0.6095 0.0720 0.7567
Hg 0.9715 0.3479 0.3879
Pr 0.2684 0.7543 0.5241
Ce 0.9849 0.3212 0.8388
Pr 0.3261 0.6389 0.0715
Hg 0.6230 0.0452 0.2077
CELL_PARAMETERS angstrom
4.3273 0.0000 -0.0004
2.1629 5.8786 -0.3311
0.0001 2.4625 6.6604
```

---

ii | Material: CePrHg
Method: DFT, PBE-GGA
State: optimized geometry Values from VASP.

Geometry as Quantum ESPRESSO input:
```
&SYSTEM
  ibrav = 0, nat = 3, ntyp = 3
/
ATOMIC_SPECIES
Ce 140.12 Ce.upf
Pr 140.91 Pr.upf
Hg 200.59 Hg.upf
ATOMIC_POSITIONS crystal
Ce 0.0125 0.0000 0.0000
Pr 0.6576 0.6667 0.3333
Hg 0.3299 0.3333 0.6667
CELL_PARAMETERS angstrom
-1.2303 -3.0567 -1.5698
-0.8799 -2.0528 4.6870
-3.7241 2.7224 -2.3824
```

---

Energy comparison, zero being the most stable, in eV/atom: i 0.000; ii 0.088.

---

i | Material: CePrHg
Method: DFT, PBE-GGA
State: optimized geometry Values from VASP.

Geometry as Quantum ESPRESSO input:
```
&SYSTEM
  ibrav = 0, nat = 3, ntyp = 3
/
ATOMIC_SPECIES
Ce 140.12 Ce.upf
Pr 140.91 Pr.upf
Hg 200.59 Hg.upf
ATOMIC_POSITIONS crystal
Ce 0.3187 0.3187 0.6374
Pr 0.0132 0.0132 0.0264
Hg 0.6681 0.6681 0.3362
CELL_PARAMETERS angstrom
-2.7674 -0.7347 2.4558
0.3387 -3.6870 -0.7214
5.5631 1.6824 3.8754
```

---

ii | Material: CePrHg
Method: DFT, PBE-GGA
State: optimized geometry Values from VASP.

Geometry as Quantum ESPRESSO input:
```
&SYSTEM
  ibrav = 0, nat = 6, ntyp = 3
/
ATOMIC_SPECIES
Pr 140.91 Pr.upf
Hg 200.59 Hg.upf
Ce 140.12 Ce.upf
ATOMIC_POSITIONS crystal
Pr 0.0724 0.2500 0.1448
Pr 0.9276 0.7500 0.8552
Hg 0.5969 0.7500 0.1937
Ce 0.7511 0.2500 0.5023
Ce 0.2489 0.7500 0.4977
Hg 0.4031 0.2500 0.8063
CELL_PARAMETERS angstrom
-0.3206 -3.3404 -1.3661
3.9842 1.0898 -3.6002
6.0764 -1.2176 6.3560
```

---

Energy comparison, zero being the most stable, in eV/atom: i 0.054; ii 0.000.

---

i | Material: CePrHg4
Method: DFT, PBE-GGA
State: optimized geometry Values from VASP.

Geometry as Quantum ESPRESSO input:
```
&SYSTEM
  ibrav = 0, nat = 6, ntyp = 3
/
ATOMIC_SPECIES
Hg 200.59 Hg.upf
Pr 140.91 Pr.upf
Ce 140.12 Ce.upf
ATOMIC_POSITIONS crystal
Hg 0.6250 0.6250 0.1250
Hg 0.6250 0.1250 0.6250
Pr 0.2500 0.2500 0.2500
Hg 0.6250 0.6250 0.6250
Hg 0.1250 0.6250 0.6250
Ce 0.0000 0.0000 0.0000
CELL_PARAMETERS angstrom
-5.5457 0.2121 2.4037
-4.3822 -3.5472 -2.1888
-2.0525 -4.6460 3.2832
```

---

ii | Material: CePrHg4
Method: DFT, PBE-GGA
State: optimized geometry Values from VASP.

Geometry as Quantum ESPRESSO input:
```
&SYSTEM
  ibrav = 0, nat = 6, ntyp = 3
/
ATOMIC_SPECIES
Hg 200.59 Hg.upf
Ce 140.12 Ce.upf
Pr 140.91 Pr.upf
ATOMIC_POSITIONS crystal
Hg 0.5012 0.9973 0.1657
Ce 0.0013 0.9973 0.4981
Pr 0.5013 0.4973 0.9981
Hg 0.0005 0.4973 0.6643
Hg 0.0021 0.4973 0.3320
Hg 0.5014 0.9973 0.8306
CELL_PARAMETERS angstrom
3.2557 -1.1906 -0.0237
-1.4994 5.9944 -0.0442
0.0966 0.0883 8.8031
```

---

Energy comparison, zero being the most stable, in eV/atom: i 0.279; ii 0.000.

---

i | Material: CePr3Hg2
Method: DFT, PBE-GGA
State: optimized geometry Values from VASP.

Geometry as Quantum ESPRESSO input:
```
&SYSTEM
  ibrav = 0, nat = 6, ntyp = 3
/
ATOMIC_SPECIES
Pr 140.91 Pr.upf
Ce 140.12 Ce.upf
Hg 200.59 Hg.upf
ATOMIC_POSITIONS crystal
Pr 0.0000 0.0000 0.0000
Pr 0.0000 0.0000 0.6825
Pr 0.0000 0.0000 0.3175
Ce 0.5000 0.5000 0.5000
Hg 0.5000 0.5000 0.1614
Hg 0.5000 0.5000 0.8386
CELL_PARAMETERS angstrom
-1.2479 3.4793 0.6227
-1.8234 -1.1994 3.0474
10.2883 2.4180 7.1076
```

---

ii | Material: CePr3Hg2
Method: DFT, PBE-GGA
State: optimized geometry Values from VASP.

Geometry as Quantum ESPRESSO input:
```
&SYSTEM
  ibrav = 0, nat = 12, ntyp = 3
/
ATOMIC_SPECIES
Pr 140.91 Pr.upf
Hg 200.59 Hg.upf
Ce 140.12 Ce.upf
ATOMIC_POSITIONS crystal
Pr 0.2245 0.4745 0.4490
Hg 0.5684 0.3609 0.7219
Hg 0.1535 0.8609 0.7219
Hg 0.4316 0.6391 0.2781
Pr 0.5000 0.2500 0.0000
Ce 0.0000 0.5000 0.0000
Pr 0.7755 0.5255 0.5510
Pr 0.2245 0.9745 0.4490
Pr 0.5000 0.7500 0.0000
Hg 0.8465 0.1391 0.2781
Ce 0.0000 0.0000 0.0000
Pr 0.7755 0.0255 0.5510
CELL_PARAMETERS angstrom
-1.1672 1.9994 -7.7504
-2.5325 -6.8288 -1.3802
-4.7539 4.5513 6.1110
```

---

Energy comparison, zero being the most stable, in eV/atom: i 0.000; ii 0.266.

---

i | Material: Ce2PrHg8
Method: DFT, PBE-GGA
State: optimized geometry Values from VASP.

Geometry as Quantum ESPRESSO input:
```
&SYSTEM
  ibrav = 0, nat = 11, ntyp = 3
/
ATOMIC_SPECIES
Hg 200.59 Hg.upf
Pr 140.91 Pr.upf
Ce 140.12 Ce.upf
ATOMIC_POSITIONS crystal
Hg 0.0000 0.2864 0.0000
Hg 0.1606 0.1606 0.3212
Hg 0.3506 0.1360 0.7013
Hg 0.6494 0.4347 0.2987
Hg 0.8394 0.8394 0.6788
Hg 0.3506 0.5653 0.7013
Hg 0.0000 0.7136 0.0000
Pr 0.5000 0.0000 0.0000
Ce 0.8104 0.3104 0.6208
Hg 0.6494 0.8640 0.2987
Ce 0.1896 0.6896 0.3792
CELL_PARAMETERS angstrom
-3.2889 1.0975 -3.9545
-5.4987 -3.3057 3.6557
2.6267 7.6901 3.4468
```

---

ii | Material: Ce2PrHg8
Method: DFT, PBE-GGA
State: optimized geometry Values from VASP.

Geometry as Quantum ESPRESSO input:
```
&SYSTEM
  ibrav = 0, nat = 11, ntyp = 3
/
ATOMIC_SPECIES
Ce 140.12 Ce.upf
Hg 200.59 Hg.upf
Pr 140.91 Pr.upf
ATOMIC_POSITIONS crystal
Ce 0.7923 0.3509 0.5846
Hg 0.8473 0.8332 0.6947
Hg 0.1527 0.1668 0.3053
Hg 0.6720 0.8986 0.3439
Hg 0.4063 0.5424 0.8126
Hg 0.9812 0.2744 0.9625
Hg 0.3280 0.1014 0.6561
Ce 0.2077 0.6491 0.4154
Hg 0.0188 0.7256 0.0375
Hg 0.5937 0.4576 0.1874
Pr 0.5000 0.0000 0.0000
CELL_PARAMETERS angstrom
-3.9583 -2.3610 -2.2663
-0.6271 -4.5226 5.8067
-2.5778 7.7960 2.2004
```

---

Energy comparison, zero being the most stable, in eV/atom: i 0.007; ii 0.000.